TiZnHg3 PBE optimized geometry; SG = Pm-3m (221); excess energy over the best structure of this formula in the dataset = 91.1 meV/atom
1.0
4.963 0.000 0.000
0.000 4.963 0.000
0.000 0.000 4.963
Ti Zn Hg
1 1 3
direct
0.000 0.000 0.000
0.500 0.500 0.500
0.000 0.500 0.500
0.500 0.000 0.500
0.500 0.500 0.000